one.
A plane-wave DFT calculation with PBE was carried out for a relaxed TbPm3 crystal.

Total magnetic moment = 0.0 μB per cell

a = 5.7694 Å, b = 5.7694 Å, c = 5.7694 Å
α = 60.00°, β = 60.00°, γ = 60.00°
Sites, in units of the cell vectors:
Tb (0.5000, 0.5000, 0.5000)
Pm (0.0000, 0.0000, 0.0000)
Pm (0.7500, 0.7500, 0.7500)
Pm (0.2500, 0.2500, 0.2500)

***

two.
A plane-wave DFT calculation with PBE was carried out for a relaxed TbPm3 crystal.

Total magnetic moment = 0.0 μB per cell

a = 3.6725 Å, b = 5.8501 Å, c = 6.3547 Å
α = 90.00°, β = 90.00°, γ = 90.00°
Sites, in units of the cell vectors:
Tb (0.0000, 0.0000, 0.0004)
Pm (0.0000, 0.5000, 0.3334)
Pm (0.5000, 0.0000, 0.4997)
Pm (0.5000, 0.5000, 0.8330)

***

It turns out two is the most stable, with the second structure 109 meV/atom higher.

***

one.
A plane-wave DFT calculation with PBE was carried out for a relaxed Tb5Pm2 crystal.

Total magnetic moment = 0.0 μB per cell

a = 6.3146 Å, b = 9.2855 Å, c = 8.5383 Å
α = 95.02°, β = 111.70°, γ = 90.00°
Sites, in units of the cell vectors:
Tb (0.3096, 0.4648, 0.2883)
Tb (0.0213, 0.0352, 0.7117)
Tb (0.1191, 0.6786, 0.5716)
Tb (0.5475, 0.8214, 0.4284)
Tb (0.8809, 0.3214, 0.4284)
Tb (0.4525, 0.1786, 0.5716)
Tb (0.9787, 0.9648, 0.2883)
Tb (0.6904, 0.5352, 0.7117)
Tb (0.8344, 0.2500, 0.0000)
Tb (0.1656, 0.7500, 0.0000)
Pm (0.2604, 0.3927, 0.8556)
Pm (0.4048, 0.1073, 0.1444)
Pm (0.7396, 0.6073, 0.1444)
Pm (0.5952, 0.8927, 0.8556)

***

two.
A plane-wave DFT calculation with PBE was carried out for a relaxed Tb5Pm2 crystal.

Total magnetic moment = 0.0 μB per cell

a = 5.6910 Å, b = 5.6910 Å, c = 8.8497 Å
α = 71.24°, β = 71.24°, γ = 60.00°
Sites, in units of the cell vectors:
Tb (0.0834, 0.0834, 0.7498)
Tb (0.7759, 0.7759, 0.6724)
Tb (0.5000, 0.5000, 0.5000)
Tb (0.2241, 0.2241, 0.3276)
Tb (0.9166, 0.9166, 0.2502)
Pm (0.6363, 0.6363, 0.0910)
Pm (0.3637, 0.3637, 0.9090)

***

It turns out one is the most stable, with the second structure 123 meV/atom higher.

***

one.
A plane-wave DFT calculation with PBE was carried out for a relaxed Tb6Pm5 crystal.

Total magnetic moment = 0.0 μB per cell

a = 9.1513 Å, b = 8.0293 Å, c = 6.4391 Å
α = 79.99°, β = 72.24°, γ = 55.26°
Sites, in units of the cell vectors:
Tb (0.8355, 0.0000, 0.6889)
Tb (0.1645, 0.0000, 0.3111)
Tb (0.3072, 0.7396, 0.8275)
Tb (0.9532, 0.7396, 0.1725)
Tb (0.6928, 0.2604, 0.1725)
Tb (0.0468, 0.2604, 0.8275)
Pm (0.5000, 0.0000, 0.5000)
Pm (0.3705, 0.2589, 0.0000)
Pm (0.6295, 0.7411, 0.0000)
Pm (0.2395, 0.5210, 0.5000)
Pm (0.7605, 0.4790, 0.5000)

***

two.
A plane-wave DFT calculation with PBE was carried out for a relaxed Tb6Pm5 crystal.

Total magnetic moment = 0.0 μB per cell

a = 5.6202 Å, b = 9.9458 Å, c = 9.4404 Å
α = 121.79°, β = 107.31°, γ = 55.60°
Sites, in units of the cell vectors:
Tb (0.7057, 0.7942, 0.0000)
Tb (0.2943, 0.2058, 0.0000)
Tb (0.7947, 0.0688, 0.7272)
Tb (0.2053, 0.6584, 0.7272)
Tb (0.2053, 0.9312, 0.2728)
Tb (0.7947, 0.3416, 0.2728)
Pm (0.5000, 0.5000, 0.0000)
Pm (0.0000, 0.6619, 0.3237)
Pm (0.0000, 0.3381, 0.6763)
Pm (0.5000, 0.8006, 0.6012)
Pm (0.5000, 0.1994, 0.3988)

***

It turns out two is the most stable, with the second structure 22 meV/atom higher.

***

one.
A plane-wave DFT calculation with PBE was carried out for a relaxed Tb2Pm crystal.

Total magnetic moment = 0.0 μB per cell

a = 5.0693 Å, b = 6.2264 Å, c = 7.1817 Å
α = 106.85°, β = 90.00°, γ = 114.02°
Sites, in units of the cell vectors:
Tb (0.8339, 0.6678, 0.4177)
Tb (0.4992, 0.9984, 0.7482)
Tb (0.5008, 0.0016, 0.2518)
Tb (0.1661, 0.3322, 0.5823)
Pm (0.1669, 0.3339, 0.0841)
Pm (0.8331, 0.6661, 0.9159)

***

two.
A plane-wave DFT calculation with PBE was carried out for a relaxed Tb2Pm crystal.

Total magnetic moment = 1.1 μB per cell

a = 6.6344 Å, b = 6.6344 Å, c = 6.6344 Å
α = 60.00°, β = 60.00°, γ = 60.00°
Site moments in Bohr magnetons follow the coordinates.
Sites, in units of the cell vectors:
Tb (0.1250, 0.6250, 0.6250)  0.05
Tb (0.6250, 0.1250, 0.6250)  0.05
Tb (0.6250, 0.6250, 0.6250)  0.05
Tb (0.6250, 0.6250, 0.1250)  0.05
Pm (0.0000, 0.0000, 0.0000)  0.18
Pm (0.2500, 0.2500, 0.2500)  0.18

***

three.
A plane-wave DFT calculation with PBE was carried out for a relaxed Tb2Pm crystal.

Total magnetic moment = 0.0 μB per cell

a = 3.6048 Å, b = 3.6048 Å, c = 17.5730 Å
α = 84.11°, β = 84.11°, γ = 60.00°
Sites, in units of the cell vectors:
Tb (0.8061, 0.8061, 0.5817)
Tb (0.1939, 0.1939, 0.4183)
Tb (0.3609, 0.3609, 0.9174)
Tb (0.6391, 0.6391, 0.0826)
Pm (0.9165, 0.9165, 0.2505)
Pm (0.0835, 0.0835, 0.7495)

***

It turns out three is the most stable, with the second structure 9 meV/atom higher.